Entry from Alexandria: a relaxed structure of TaCd2PbO (PBE).

Computed properties:
formation energy from raw total energies	8.77	kcal/mol of atoms

```
TaCd2PbO
1.0
4.438 0.000 0.000
0.000 4.438 0.000
0.000 0.000 5.179
Ta Cd Pb O
1 2 1 1
Direct
0.000 0.000 0.000 Ta
0.000 0.500 0.500 Cd
0.500 0.000 0.500 Cd
0.500 0.500 0.000 Pb
0.500 0.500 0.500 O
```